1:
First-principles (PBE) data for crystalline PmLu3 at its relaxed geometry, as listed in the Alexandria database.

a = 3.5826 Å, b = 11.1406 Å, c = 6.1748 Å
α = 90.00°, β = 90.00°, γ = 90.00°
Space group Imm2 (No. 44)
Inequivalent atoms, fractional coordinates:
Pm: 0.0000 0.0000 0.0000 (multiplicity 2)
Lu: 0.0000 0.2475 0.6604 (multiplicity 4)
Lu: 0.0000 0.5000 0.9957 (multiplicity 2)

Output
V ... 246.4 Å³ per cell
Magnetization ... 0.00 μB per formula unit

***

2:
First-principles (PBE) data for crystalline PmLu3 at its relaxed geometry, as listed in the Alexandria database.

a = 4.9851 Å, b = 4.9851 Å, c = 9.8219 Å
α = 90.00°, β = 90.00°, γ = 90.00°
Space group I4/mmm (No. 139)
Inequivalent atoms, fractional coordinates:
Pm: 0.0000 0.0000 0.0000 (multiplicity 2)
Lu: 0.0000 0.0000 0.5000 (multiplicity 2)
Lu: 0.0000 0.5000 0.2500 (multiplicity 4)

Output
V ... 244.1 Å³ per cell
Magnetization ... 0.00 μB per formula unit

***

1 takes first place; second place is 27 meV/atom up.

***

1:
First-principles (PBE) data for crystalline Pm3Lu at its relaxed geometry, as listed in the Alexandria database.

a = 3.6654 Å, b = 11.5840 Å, c = 6.2870 Å
α = 90.00°, β = 90.00°, γ = 90.00°
Space group Imm2 (No. 44)
Inequivalent atoms, fractional coordinates:
Pm: 0.0000 0.0000 0.0000 (multiplicity 2)
Pm: 0.0000 0.2466 0.3355 (multiplicity 4)
Lu: 0.0000 0.5000 0.0028 (multiplicity 2)

Output
V ... 266.9 Å³ per cell
Magnetization ... 0.00 μB per formula unit

***

2:
First-principles (PBE) data for crystalline Pm3Lu at its relaxed geometry, as listed in the Alexandria database.

a = 8.1104 Å, b = 8.1104 Å, c = 8.1104 Å
α = 90.00°, β = 90.00°, γ = 90.00°
Space group Fm-3m (No. 225)
Inequivalent atoms, fractional coordinates:
Pm: 0.0000 0.0000 0.0000 (multiplicity 4)
Pm: 0.2500 0.2500 0.2500 (multiplicity 8)
Lu: 0.0000 0.0000 0.5000 (multiplicity 4)

Output
V ... 533.5 Å³ per cell
Magnetization ... 0.02 μB per formula unit

***

3:
First-principles (PBE) data for crystalline Pm3Lu at its relaxed geometry, as listed in the Alexandria database.

a = 5.1066 Å, b = 5.1066 Å, c = 10.1289 Å
α = 90.00°, β = 90.00°, γ = 90.00°
Space group I4/mmm (No. 139)
Inequivalent atoms, fractional coordinates:
Pm: 0.0000 0.0000 0.0000 (multiplicity 2)
Pm: 0.0000 0.5000 0.2500 (multiplicity 4)
Lu: 0.0000 0.0000 0.5000 (multiplicity 2)

Output
V ... 264.1 Å³ per cell
Magnetization ... 0.00 μB per formula unit

***

3 takes first place; second place is 8 meV/atom up.

***

1:
First-principles (PBE) data for crystalline PmPr2Lu at its relaxed geometry, as listed in the Alexandria database.

a = 4.2138 Å, b = 4.2138 Å, c = 7.6754 Å
α = 90.00°, β = 90.00°, γ = 90.00°
Space group P4/mmm (No. 123)
Inequivalent atoms, fractional coordinates:
Pm: 0.0000 0.0000 0.0000 (multiplicity 1)
Pr: 0.5000 0.5000 0.2624 (multiplicity 2)
Lu: 0.0000 0.0000 0.5000 (multiplicity 1)

Output
V ... 136.3 Å³ per cell
Magnetization ... 0.00 μB per formula unit

***

2:
First-principles (PBE) data for crystalline PmPr2Lu at its relaxed geometry, as listed in the Alexandria database.

a = 8.1764 Å, b = 8.1764 Å, c = 8.1764 Å
α = 90.00°, β = 90.00°, γ = 90.00°
Space group Fm-3m (No. 225)
Inequivalent atoms, fractional coordinates:
Pm: 0.0000 0.0000 0.0000 (multiplicity 4)
Pr: 0.2500 0.2500 0.2500 (multiplicity 8)
Lu: 0.0000 0.0000 0.5000 (multiplicity 4)

Output
V ... 546.6 Å³ per cell
Magnetization ... 0.00 μB per formula unit

***

3:
First-principles (PBE) data for crystalline PmPr2Lu at its relaxed geometry, as listed in the Alexandria database.

a = 5.1483 Å, b = 5.1483 Å, c = 5.1070 Å
α = 90.00°, β = 90.00°, γ = 90.00°
Space group P4/mmm (No. 123)
Inequivalent atoms, fractional coordinates:
Pm: 0.0000 0.0000 0.0000 (multiplicity 1)
Pr: 0.0000 0.5000 0.5000 (multiplicity 2)
Lu: 0.5000 0.5000 0.0000 (multiplicity 1)

Output
V ... 135.4 Å³ per cell
Magnetization ... 0.00 μB per formula unit

***

3 takes first place; second place is 81 meV/atom up.

***

1:
First-principles (PBE) data for crystalline Pm2PrLu at its relaxed geometry, as listed in the Alexandria database.

a = 8.1498 Å, b = 8.1498 Å, c = 8.1498 Å
α = 90.00°, β = 90.00°, γ = 90.00°
Space group Fm-3m (No. 225)
Inequivalent atoms, fractional coordinates:
Pm: 0.2500 0.2500 0.2500 (multiplicity 8)
Pr: 0.0000 0.0000 0.0000 (multiplicity 4)
Lu: 0.0000 0.0000 0.5000 (multiplicity 4)

Output
V ... 541.3 Å³ per cell
Magnetization ... 0.00 μB per formula unit

***

2:
First-principles (PBE) data for crystalline Pm2PrLu at its relaxed geometry, as listed in the Alexandria database.

a = 3.6214 Å, b = 3.6214 Å, c = 35.3204 Å
α = 90.00°, β = 90.00°, γ = 120.00°
Space group R-3m (No. 166, hexagonal axes)
Inequivalent atoms, fractional coordinates:
Pm: 0.0000 0.0000 0.2475 (multiplicity 6)
Pr: 0.0000 0.0000 0.0000 (multiplicity 3)
Lu: 0.0000 0.0000 0.5000 (multiplicity 3)

Output
V ... 401.2 Å³ per cell
Magnetization ... 0.00 μB per formula unit

***

3:
First-principles (PBE) data for crystalline Pm2PrLu at its relaxed geometry, as listed in the Alexandria database.

a = 5.1012 Å, b = 5.1012 Å, c = 5.1349 Å
α = 90.00°, β = 90.00°, γ = 90.00°
Space group P4/mmm (No. 123)
Inequivalent atoms, fractional coordinates:
Pm: 0.0000 0.5000 0.0000 (multiplicity 2)
Pr: 0.0000 0.0000 0.5000 (multiplicity 1)
Lu: 0.5000 0.5000 0.5000 (multiplicity 1)

Output
V ... 133.6 Å³ per cell
Magnetization ... 0.00 μB per formula unit

***

3 takes first place; second place is 9 meV/atom up.

***

1:
First-principles (PBE) data for crystalline PmPrLu2 at its relaxed geometry, as listed in the Alexandria database.

a = 8.0436 Å, b = 8.0436 Å, c = 8.0436 Å
α = 90.00°, β = 90.00°, γ = 90.00°
Space group Fm-3m (No. 225)
Inequivalent atoms, fractional coordinates:
Pm: 0.0000 0.0000 0.0000 (multiplicity 4)
Pr: 0.0000 0.0000 0.5000 (multiplicity 4)
Lu: 0.2500 0.2500 0.2500 (multiplicity 8)

Output
V ... 520.4 Å³ per cell
Magnetization ... 0.00 μB per formula unit

***

2:
First-principles (PBE) data for crystalline PmPrLu2 at its relaxed geometry, as listed in the Alexandria database.

a = 3.6164 Å, b = 3.6164 Å, c = 9.8300 Å
α = 90.00°, β = 90.00°, γ = 90.00°
Space group P4/mmm (No. 123)
Inequivalent atoms, fractional coordinates:
Pm: 0.0000 0.0000 0.0000 (multiplicity 1)
Pr: 0.0000 0.0000 0.5000 (multiplicity 1)
Lu: 0.5000 0.5000 0.2479 (multiplicity 2)

Output
V ... 128.6 Å³ per cell
Magnetization ... 0.00 μB per formula unit

***

2 takes first place; second place is 54 meV/atom up.

***

1:
First-principles (PBE) data for crystalline PmLuPt2 at its relaxed geometry, as listed in the Alexandria database.

a = 3.4839 Å, b = 3.4839 Å, c = 7.0895 Å
α = 90.00°, β = 90.00°, γ = 90.00°
Space group P4/mmm (No. 123)
Inequivalent atoms, fractional coordinates:
Pm: 0.0000 0.0000 0.0000 (multiplicity 1)
Lu: 0.0000 0.0000 0.5000 (multiplicity 1)
Pt: 0.5000 0.5000 0.2714 (multiplicity 2)

Output
V ... 86.0 Å³ per cell
Magnetization ... 0.00 μB per formula unit

***

2:
First-principles (PBE) data for crystalline PmLuPt2 at its relaxed geometry, as listed in the Alexandria database.

a = 7.0230 Å, b = 7.0230 Å, c = 7.0230 Å
α = 90.00°, β = 90.00°, γ = 90.00°
Space group Fm-3m (No. 225)
Inequivalent atoms, fractional coordinates:
Pm: 0.0000 0.0000 0.0000 (multiplicity 4)
Lu: 0.0000 0.0000 0.5000 (multiplicity 4)
Pt: 0.2500 0.2500 0.2500 (multiplicity 8)

Output
V ... 346.4 Å³ per cell
Magnetization ... 0.00 μB per formula unit

***

1 takes first place; second place is 14 meV/atom up.